Entry 1:
Density functional theory data (GGA-PBE) for a geometry-optimized CdHgOs2 structure.

```
4
Lattice="-6.032 1.107 -0.910 -3.390 -1.772 -4.879 3.511 -1.034 5.004" Properties=species:S:1:pos:R:3 pbc="T T T"
Os -9.117 -0.643 -5.602
Hg -2.017 -1.550 -1.214
Cd -4.982 -0.352 -3.061
Os -3.927 -0.152 0.409
```

---

Entry 2:
Density functional theory data (GGA-PBE) for a geometry-optimized CdHgOs2 structure.

```
4
Lattice="2.825 -0.013 0.000 -1.353 2.480 0.000 0.000 0.000 9.856" Properties=species:S:1:pos:R:3 pbc="T T T"
Hg 0.736 1.233 7.392
Os 0.000 0.000 4.901
Os 0.000 0.000 0.027
Cd 0.736 1.233 2.464
```

---

Entry 3:
Density functional theory data (GGA-PBE) for a geometry-optimized CdHgOs2 structure.

```
4
Lattice="2.937 1.541 3.183 -1.394 3.079 3.116 -0.511 -1.247 4.395" Properties=species:S:1:pos:R:3 pbc="T T T"
Cd 0.000 0.000 0.000
Os 0.774 2.529 8.021
Hg 0.516 1.686 5.347
Os 0.258 0.843 2.674
```

---

Entry 4:
Density functional theory data (GGA-PBE) for a geometry-optimized CdHgOs structure.

```
3
Lattice="-6.244 0.738 2.892 -4.669 -2.841 4.246 6.316 2.037 -1.965" Properties=species:S:1:pos:R:3 pbc="T T T"
Os -7.254 -1.398 4.745
Cd -0.131 -0.025 0.086
Hg -3.528 -0.680 2.308
```

---

Entry 5:
Density functional theory data (GGA-PBE) for a geometry-optimized CdHgOs2 structure.

```
4
Lattice="-2.856 -0.746 3.039 -2.447 -3.073 1.587 3.885 -3.322 6.416" Properties=species:S:1:pos:R:3 pbc="T T T"
Os -0.874 -5.523 8.603
Os -1.524 -6.791 10.451
Cd -0.662 -3.764 5.844
Hg -0.485 -1.774 2.705
```

---

Entry 6:
Density functional theory data (GGA-PBE) for a geometry-optimized CdHgOs2 structure.

```
4
Lattice="-0.188 1.825 -2.233 -4.818 -0.274 0.182 -0.098 3.804 3.116" Properties=species:S:1:pos:R:3 pbc="T T T"
Os -2.503 0.775 -1.026
Os 0.000 0.000 0.000
Hg -2.458 1.765 1.649
Cd -0.143 2.814 0.441
```

---

Entry 7:
Density functional theory data (GGA-PBE) for a geometry-optimized CdHgOs2 structure.

```
8
Lattice="-4.611 2.429 -5.605 -2.707 -7.108 -0.854 -5.526 -1.839 -1.477" Properties=species:S:1:pos:R:3 pbc="T T T"
Os -6.862 -3.063 -3.521
Cd -3.659 -2.340 -3.230
Os -4.648 0.194 -4.035
Hg -6.898 -0.875 -5.156
Os -3.604 -4.623 -1.548
Os -10.575 -5.545 -6.768
Cd -5.946 -5.644 -2.780
Hg 0.000 0.000 0.000
```

---

Entry 8:
Density functional theory data (GGA-PBE) for a geometry-optimized CdHgOs2 structure.

```
4
Lattice="-0.930 -2.300 2.119 2.495 0.787 1.949 -3.729 4.306 3.036" Properties=species:S:1:pos:R:3 pbc="T T T"
Hg -2.014 2.473 4.311
Os -1.865 2.154 1.519
Os -3.729 4.306 3.036
Cd -0.150 0.320 2.793
```

---

What did we get for total moment? Answer: 0.00; 0.45; 2.10; 0.91; 0.00; 0.36; 0.90; 2.04 μB per cell, in the order shown.
What did we get for energy relative to the lowest polymorph listed for this composition? Answer: 417; 544; 820; 67; 270; 529; 1078; 820 meV/atom, in the order shown.
What did we get for E_form? Answer: 0.76; 0.89; 1.16; 0.76; 0.61; 0.87; 1.42; 1.16 eV/atom, in the order shown.